# Y2Ge3 (PBE, relaxed)
data_Y2Ge3
_chemical_formula_sum 'Y4 Ge6'
_cell_length_a 7.3004
_cell_length_b 7.3004
_cell_length_c 4.1795
_cell_angle_alpha 90.00
_cell_angle_beta 90.00
_cell_angle_gamma 90.00
_symmetry_space_group_name_H-M 'P 4/m b m'
_symmetry_Int_Tables_number 127
_symmetry_space_group_name_Hall '-P 4 2ab'
loop_
_atom_site_label
_atom_site_fract_x
_atom_site_fract_y
_atom_site_fract_z
_atom_site_occupancy
Y1 0.1795 0.3205 0.0000 1
Ge1 0.0000 0.0000 0.5000 1
Ge2 0.1230 0.6230 0.5000 1
# * energy of formation from the pure elements: -0.7031 eV per atom
# * M_tot: 0.000 μB/f.u.
# * VASP energy: -30.30 eV per formula unit
# * energy relative to the lowest polymorph listed for this composition: 51 meV per atom